(1)
Entry from the Alexandria database: an optimized crystal structure of Nb2CrPtI (PBE).

Computed properties:
The formation energy (no corrections) comes out at 9.3 eV/f.u.

Unit cell a=4.9267 b=4.9267 c=5.3059 alpha=90.00 beta=90.00 gamma=90.00
Space group P4/mmm (No. 123)
Symmetry-distinct sites (fractional):
Nb (0.0000, 0.5000, 0.0000)
Cr (0.0000, 0.0000, 0.5000)
Pt (0.5000, 0.5000, 0.0000)
I (0.5000, 0.5000, 0.5000)

(2)
Entry from the Alexandria database: an optimized crystal structure of NbCrPt2I (PBE).

Computed properties:
The formation energy (no corrections) comes out at 5.6 eV/f.u.

Unit cell a=4.9424 b=4.9424 c=5.0296 alpha=90.00 beta=90.00 gamma=90.00
Space group P4/mmm (No. 123)
Symmetry-distinct sites (fractional):
Nb (0.0000, 0.0000, 0.0000)
Cr (0.0000, 0.0000, 0.5000)
Pt (0.0000, 0.5000, 0.0000)
I (0.5000, 0.5000, 0.5000)

(3)
Entry from the Alexandria database: an optimized crystal structure of Nb2CrSiI (PBE).

Computed properties:
The formation energy (no corrections) comes out at 12.2 eV/f.u.

Unit cell a=5.0124 b=5.0124 c=5.0719 alpha=90.00 beta=90.00 gamma=90.00
Space group P4/mmm (No. 123)
Symmetry-distinct sites (fractional):
Nb (0.0000, 0.5000, 0.0000)
Cr (0.0000, 0.0000, 0.5000)
Si (0.5000, 0.5000, 0.5000)
I (0.5000, 0.5000, 0.0000)

(4)
Entry from the Alexandria database: an optimized crystal structure of SrNb2CrI (PBE).

Computed properties:
The formation energy (no corrections) comes out at 14.4 eV/f.u.

Unit cell a=4.9640 b=4.9640 c=5.7746 alpha=90.00 beta=90.00 gamma=90.00
Space group P4/mmm (No. 123)
Symmetry-distinct sites (fractional):
Sr (0.0000, 0.0000, 0.0000)
Nb (0.0000, 0.5000, 0.0000)
Cr (0.5000, 0.5000, 0.5000)
I (0.0000, 0.0000, 0.5000)

(5)
Entry from the Alexandria database: an optimized crystal structure of NbCrTe2I (PBE).

Computed properties:
For the polymorph energy (0 for the lowest one), the calculation gives 397 meV per atom. The formation energy (no corrections) comes out at 4.5 eV/f.u.

Unit cell a=5.2208 b=5.2208 c=5.2029 alpha=90.00 beta=90.00 gamma=90.00
Space group P4/mmm (No. 123)
Symmetry-distinct sites (fractional):
Nb (0.0000, 0.0000, 0.0000)
Cr (0.5000, 0.5000, 0.5000)
Te (0.0000, 0.5000, 0.5000)
I (0.5000, 0.5000, 0.0000)

(6)
Entry from the Alexandria database: an optimized crystal structure of NbCrTeI2 (PBE).

Computed properties:
For the polymorph energy (0 for the lowest one), the calculation gives 704 meV per atom. The formation energy (no corrections) comes out at 6.1 eV/f.u.

Unit cell a=5.1150 b=5.1150 c=5.1312 alpha=90.00 beta=90.00 gamma=90.00
Space group P4/mmm (No. 123)
Symmetry-distinct sites (fractional):
Nb (0.0000, 0.0000, 0.0000)
Cr (0.5000, 0.5000, 0.5000)
Te (0.5000, 0.5000, 0.0000)
I (0.0000, 0.5000, 0.5000)

(7)
Entry from the Alexandria database: an optimized crystal structure of NbCrTe2I (PBE).

Computed properties:
For the polymorph energy (0 for the lowest one), the calculation gives 0 meV per atom. The formation energy (no corrections) comes out at 2.6 eV/f.u.

Unit cell a=5.4117 b=5.4117 c=5.7416 alpha=90.00 beta=90.00 gamma=90.00
Space group P4/mmm (No. 123)
Symmetry-distinct sites (fractional):
Nb (0.0000, 0.0000, 0.0000)
Cr (0.5000, 0.5000, 0.5000)
Te (0.0000, 0.5000, 0.0000)
I (0.0000, 0.0000, 0.5000)

(8)
Entry from the Alexandria database: an optimized crystal structure of NbCrTeI2 (PBE).

Computed properties:
For the polymorph energy (0 for the lowest one), the calculation gives 0 meV per atom. The formation energy (no corrections) comes out at 2.6 eV/f.u.

Unit cell a=5.7058 b=5.7058 c=5.4237 alpha=90.00 beta=90.00 gamma=90.00
Space group P4/mmm (No. 123)
Symmetry-distinct sites (fractional):
Nb (0.0000, 0.0000, 0.0000)
Cr (0.5000, 0.5000, 0.5000)
Te (0.0000, 0.0000, 0.5000)
I (0.0000, 0.5000, 0.0000)

(9)
Entry from the Alexandria database: an optimized crystal structure of Nb2VCrI (PBE).

Computed properties:
The formation energy (no corrections) comes out at 7.7 eV/f.u.

Unit cell a=4.6537 b=4.6537 c=4.7537 alpha=90.00 beta=90.00 gamma=90.00
Space group P4/mmm (No. 123)
Symmetry-distinct sites (fractional):
Nb (0.0000, 0.5000, 0.0000)
V (0.0000, 0.0000, 0.5000)
Cr (0.5000, 0.5000, 0.0000)
I (0.5000, 0.5000, 0.5000)

no.,electronic total energy (eV/cell)
1,-28.0
2,-27.7
3,-24.6
4,-18.6
5,-23.0
6,-19.8
7,-25.0
8,-23.4
9,-32.8